Density functional theory data (PBE+U) for a relaxed NiRhF3 crystal.

Output
The calculation puts the density of states at the Fermi level at 12.2 states/eV per cell. The crystal system is cubic. For the total moment, the calculation gives 0.26 μB per atom. As for the energy above the lowest structure with this stoichiometry: 655 meV/atom.

```
data_NiRhF3
_symmetry_space_group_name_H-M 'P m -3 m'
_symmetry_Int_Tables_number 221
_symmetry_space_group_name_Hall '-P 4 2 3'
_cell_length_a 4.163
_cell_length_b 4.163
_cell_length_c 4.163
_cell_angle_alpha 90.00
_cell_angle_beta 90.00
_cell_angle_gamma 90.00
loop_
_atom_site_label
_atom_site_type_symbol
_atom_site_fract_x
_atom_site_fract_y
_atom_site_fract_z
Ni1 Ni 0.000 0.000 0.000
Rh1 Rh 0.500 0.500 0.500
F1 F 0.000 0.500 0.500
```